No. 1
# PBE-GGA MnV3H, relaxed
# Uncorrected energy (eV per cell): -158.372
# SG: P2_1/c
# Crystal system: monoclinic
# Size of the total moment (μB/cell): 0.000
data_MnV3H
_chemical_formula_sum 'Mn4 V12 H4'
_space_group_name_H-M_alt 'P 1'
_space_group_IT_number 1
_cell_length_a 6.916
_cell_length_b 4.740
_cell_length_c 8.156
_cell_angle_alpha 90.00
_cell_angle_beta 126.04
_cell_angle_gamma 90.00
loop_
_space_group_symop_operation_xyz
'x,y,z'
loop_
_atom_site_label
_atom_site_fract_x
_atom_site_fract_y
_atom_site_fract_z
Mn1 0.141 0.250 0.070
Mn2 0.141 0.250 0.570
Mn3 0.859 0.750 0.430
Mn4 0.859 0.750 0.930
V1 0.029 0.530 0.265
V2 0.029 0.970 0.765
V3 0.338 0.749 0.670
V4 0.338 0.751 0.170
V5 0.400 0.245 0.450
V6 0.400 0.255 0.950
V7 0.600 0.745 0.050
V8 0.600 0.755 0.550
V9 0.662 0.249 0.830
V10 0.662 0.251 0.330
V11 0.971 0.030 0.235
V12 0.971 0.470 0.735
H1 0.275 0.662 0.886
H2 0.275 0.838 0.386
H3 0.725 0.162 0.614
H4 0.725 0.338 0.114

=====

No. 2
# PBE-GGA MnVH3, relaxed
# Uncorrected energy (eV per cell): -27.924
# SG: Pm-3m
# Crystal system: cubic
# Size of the total moment (μB/cell): 2.999
data_MnVH3
_chemical_formula_sum 'Mn1 V1 H3'
_space_group_name_H-M_alt 'P 1'
_space_group_IT_number 1
_cell_length_a 3.225
_cell_length_b 3.225
_cell_length_c 3.225
_cell_angle_alpha 90.00
_cell_angle_beta 90.00
_cell_angle_gamma 90.00
loop_
_space_group_symop_operation_xyz
'x,y,z'
loop_
_atom_site_label
_atom_site_fract_x
_atom_site_fract_y
_atom_site_fract_z
Mn1 0.000 0.000 0.000
V1 0.500 0.500 0.500
H1 0.000 0.000 0.500
H2 0.000 0.500 0.000
H3 0.500 0.000 0.000

=====

no.,V (Å³/cell),polymorph energy (0 for the lowest one) (eV/atom)
1,216.17,0.000
2,33.55,0.135